No. 1
Computed, not measured: a relaxed BaZn2Se2 crystal at the GGA-PBE level of DFT.

Unit cell a=5.047 b=5.047 c=9.509 alpha=90.00 beta=90.00 gamma=90.00
Space group I4/mmm (No. 139)
Inequivalent atoms, fractional coordinates:
Ba: 0.000 0.000 0.000
Zn: 0.000 0.000 0.371
Se: 0.000 0.500 0.250

Its total magnetization is 0.00 μB/atom. The value obtained for the energy relative to the elements, uncorrected is -0.89 eV/atom. The energy above the most stable polymorph in this dataset is 0.00 eV/f.u. As for the density of states at the Fermi level: 0.04 states/eV/f.u.

---

No. 2
Computed, not measured: a relaxed BaZn3Se crystal at the GGA-PBE level of DFT.

Unit cell a=5.244 b=5.244 c=5.244 alpha=90.00 beta=90.00 gamma=90.00
Space group Pm-3m (No. 221)
Inequivalent atoms, fractional coordinates:
Ba: 0.000 0.000 0.000
Zn: 0.000 0.500 0.500
Se: 0.500 0.500 0.500

Its total magnetization is 0.00 μB/atom. The value obtained for the energy relative to the elements, uncorrected is 0.10 eV/atom. The energy above the most stable polymorph in this dataset is 0.00 eV/f.u. As for the density of states at the Fermi level: 3.75 states/eV/f.u.

---

No. 3
Computed, not measured: a relaxed BaZnSe crystal at the GGA-PBE level of DFT.

Unit cell a=4.589 b=4.589 c=9.343 alpha=90.00 beta=90.00 gamma=90.00
Space group I4mm (No. 107)
Inequivalent atoms, fractional coordinates:
Ba: 0.000 0.000 0.000
Zn: 0.000 0.000 0.655
Se: 0.000 0.000 0.369

Its total magnetization is 0.00 μB/atom. The value obtained for the energy relative to the elements, uncorrected is -0.84 eV/atom. The energy above the most stable polymorph in this dataset is 0.23 eV/f.u.

---

No. 4
Computed, not measured: a relaxed Ba2Zn2Se crystal at the GGA-PBE level of DFT.

Unit cell a=8.488 b=8.488 c=4.467 alpha=90.00 beta=90.00 gamma=90.00
Space group P4/mbm (No. 127)
Inequivalent atoms, fractional coordinates:
Ba: 0.193 0.307 0.000
Zn: 0.105 0.605 0.500
Se: 0.000 0.000 0.500

Its total magnetization is 0.00 μB/atom. The value obtained for the energy relative to the elements, uncorrected is -0.52 eV/atom. The energy above the most stable polymorph in this dataset is 0.00 eV/f.u. As for the density of states at the Fermi level: 1.73 states/eV/f.u.

---

No. 5
Computed, not measured: a relaxed BaZn2Se crystal at the GGA-PBE level of DFT.

Unit cell a=5.166 b=5.166 c=8.485 alpha=90.00 beta=90.00 gamma=90.00
Space group I-4m2 (No. 119)
Inequivalent atoms, fractional coordinates:
Ba: 0.000 0.000 0.000
Zn: 0.000 0.000 0.500
Zn: 0.000 0.500 0.250
Se: 0.000 0.500 0.750

Its total magnetization is 0.00 μB/atom. The value obtained for the energy relative to the elements, uncorrected is -0.47 eV/atom.

---

No. 6
Computed, not measured: a relaxed BaZn2Se crystal at the GGA-PBE level of DFT.

Unit cell a=3.905 b=3.905 c=6.871 alpha=90.00 beta=90.00 gamma=90.00
Space group P4/mmm (No. 123)
Inequivalent atoms, fractional coordinates:
Ba: 0.000 0.000 0.000
Zn: 0.500 0.500 0.309
Se: 0.000 0.000 0.500

Its total magnetization is 0.00 μB/atom. The value obtained for the energy relative to the elements, uncorrected is -0.34 eV/atom. As for the density of states at the Fermi level: 1.12 states/eV/f.u.

---

No. 7
Computed, not measured: a relaxed Ba2Zn2Se crystal at the GGA-PBE level of DFT.

Unit cell a=6.271 b=6.271 c=8.776 alpha=90.00 beta=90.00 gamma=90.00
Space group I4/mmm (No. 139)
Inequivalent atoms, fractional coordinates:
Ba: 0.000 0.500 0.250
Zn: 0.000 0.000 0.140
Se: 0.000 0.000 0.500

Its total magnetization is 0.00 μB/atom. The value obtained for the energy relative to the elements, uncorrected is -0.35 eV/atom. The energy above the most stable polymorph in this dataset is 0.86 eV/f.u. As for the density of states at the Fermi level: 6.66 states/eV/f.u.

---

No. 8
Computed, not measured: a relaxed BaZrSe3 crystal at the GGA-PBE level of DFT.

Unit cell a=5.291 b=5.291 c=5.291 alpha=90.00 beta=90.00 gamma=90.00
Space group Pm-3m (No. 221)
Inequivalent atoms, fractional coordinates:
Ba: 0.000 0.000 0.000
Zr: 0.500 0.500 0.500
Se: 0.000 0.500 0.500

Its total magnetization is 0.00 μB/atom. The value obtained for the energy relative to the elements, uncorrected is -1.56 eV/atom. As for the density of states at the Fermi level: 0.01 states/eV/f.u.